NdHoSn2 (PBE, optimized geometry); size of the total moment = 0.0 Bohr magnetons per cell; space group = Amm2 (38); E = -4.276 eV/atom; crystal system = orthorhombic
1.0
3.344 0.000 0.000
0.000 3.149 6.185
0.000 -3.149 6.185
Nd Ho Sn
1 1 2
Direct
0.000 0.000 0.000
0.000 0.279 0.279
0.000 0.521 0.521
0.000 0.750 0.750

---

KPrZnO3 (PBE, optimized geometry); size of the total moment = 0.0 Bohr magnetons per cell; space group = Cmcm (63); E = -5.764 eV/atom; crystal system = orthorhombic
1.0
1.823 -5.839 0.000
1.823 5.839 0.000
0.000 0.000 9.615
K Pr Zn O
2 2 2 6
Direct
0.231 0.769 0.750
0.769 0.231 0.250
0.500 0.500 0.000
0.500 0.500 0.500
0.048 0.952 0.250
0.952 0.048 0.750
0.120 0.880 0.071
0.120 0.880 0.429
0.452 0.548 0.250
0.548 0.452 0.750
0.880 0.120 0.571
0.880 0.120 0.929

---

ScZnCoCu (PBE, optimized geometry); energy above the lowest structure with this stoichiometry = 0.111 eV per atom; size of the total moment = 1.1 Bohr magnetons per cell; space group = F-43m (216); energy of formation from the pure elements = -78 meV per atom; crystal system = cubic
1.0
0.000 3.048 3.048
3.048 0.000 3.048
3.048 3.048 0.000
Sc Zn Co Cu
1 1 1 1
Direct
0.000 0.000 0.000
0.250 0.250 0.250
0.500 0.500 0.500
0.750 0.750 0.750

---

Nd3AgHg3PtAu (PBE, optimized geometry); size of the total moment = 0.0 Bohr magnetons per cell; space group = P-6 (174); energy of formation from the pure elements = -661 meV per atom; crystal system = hexagonal
1.0
8.034 0.000 0.000
-4.017 6.957 0.000
0.000 0.000 3.878
Nd Ag Hg Pt Au
3 1 3 1 1
Direct
0.014 0.415 0.000
0.401 0.986 0.000
0.585 0.599 0.000
0.000 0.000 0.000
0.267 0.266 0.500
0.734 0.002 0.500
0.998 0.733 0.500
0.333 0.667 0.500
0.667 0.333 0.500

---

YTmBr2O2 (PBE, optimized geometry); size of the total moment = 0.0 Bohr magnetons per cell; space group = P4mm (99); E = -6.946 eV/atom; crystal system = tetragonal
1.0
3.811 0.000 0.000
0.000 3.811 0.000
0.000 0.000 8.636
Y Tm Br O
1 1 2 2
Direct
0.000 0.000 0.000
0.500 0.500 0.261
0.000 0.000 0.453
0.500 0.500 0.809
0.000 0.500 0.134
0.500 0.000 0.134

---

LuTlTc (PBE, optimized geometry); energy above the lowest structure with this stoichiometry = 0.000 eV per atom; size of the total moment = 0.6 Bohr magnetons per cell; space group = F-43m (216); crystal system = cubic
1.0
0.000 3.310 3.310
3.310 0.000 3.310
3.310 3.310 0.000
Lu Tl Tc
1 1 1
Direct
0.000 0.000 0.000
0.500 0.500 0.500
0.250 0.250 0.250

---

ZnSb2Ir (PBE, optimized geometry); energy above the lowest structure with this stoichiometry = 0.000 eV per atom; size of the total moment = 0.0 Bohr magnetons per cell; space group = I-42d (122); crystal system = tetragonal
1.0
-3.021 3.021 6.067
3.021 -3.021 6.067
3.021 3.021 -6.067
Zn Sb Ir
2 4 2
Direct
0.000 0.000 0.000
0.750 0.250 0.500
0.146 0.625 0.021
0.375 0.396 0.521
0.604 0.125 0.979
0.875 0.854 0.479
0.250 0.750 0.500
0.500 0.500 0.000

---

HfCdAu (PBE, optimized geometry); size of the total moment = 0.1 Bohr magnetons per cell; space group = I4mm (107); energy of formation from the pure elements = -207 meV per atom; crystal system = tetragonal
1.0
-1.683 1.683 5.231
1.683 -1.683 5.231
1.683 1.683 -5.231
Hf Cd Au
1 1 1
Direct
0.000 0.000 0.000
0.318 0.318 0.000
0.657 0.657 0.000

---

Dy2HoLuIn2 (PBE, optimized geometry); size of the total moment = 0.2 Bohr magnetons per cell; space group = P-6m2 (187); E = -4.311 eV/atom; crystal system = hexagonal
1.0
5.354 0.000 0.000
-2.677 4.637 0.000
0.000 0.000 6.699
Dy Ho Lu In
2 1 1 2
Direct
0.000 0.000 0.249
0.000 0.000 0.751
0.333 0.667 0.500
0.667 0.333 0.000
0.333 0.667 0.000
0.667 0.333 0.500

---

YScCd6 (PBE, optimized geometry); energy above the lowest structure with this stoichiometry = 0.014 eV per atom; size of the total moment = 0.0 Bohr magnetons per cell; space group = P4/mmm (123); energy of formation from the pure elements = -247 meV per atom; crystal system = tetragonal
1.0
4.987 0.000 0.000
0.000 4.987 0.000
0.000 0.000 7.077
Y Sc Cd
1 1 6
Direct
0.000 0.000 0.000
0.500 0.500 0.500
0.000 0.000 0.500
0.000 0.500 0.262
0.000 0.500 0.738
0.500 0.000 0.262
0.500 0.000 0.738
0.500 0.500 0.000

---

PrBiIr (PBE, optimized geometry); size of the total moment = 0.0 Bohr magnetons per cell; space group = P-62m (189); E = -6.477 eV/atom; crystal system = hexagonal
1.0
7.786 0.000 0.000
-3.893 6.743 0.000
0.000 0.000 4.170
Pr Bi Ir
3 3 3
Direct
0.000 0.594 0.000
0.406 0.406 0.000
0.594 0.000 0.000
0.000 0.260 0.500
0.260 0.000 0.500
0.740 0.740 0.500
0.000 0.000 0.000
0.333 0.667 0.500
0.667 0.333 0.500

---

Y2TmMoC3 (PBE, optimized geometry); size of the total moment = 0.0 Bohr magnetons per cell; space group = Cm (8); E = -8.230 eV/atom; crystal system = monoclinic
1.0
6.127 -1.771 0.000
6.127 1.771 0.000
-2.220 0.000 5.355
Y Tm Mo C
2 1 1 3
Direct
0.000 0.000 0.000
0.242 0.242 0.604
0.755 0.755 0.131
0.474 0.474 0.440
0.366 0.366 0.065
0.620 0.620 0.345
0.912 0.912 0.537

---

NpInPd6 (PBE, optimized geometry); size of the total moment = 0.1 Bohr magnetons per cell; space group = P4/mmm (123); E = -6.228 eV/atom; crystal system = tetragonal
1.0
4.087 0.000 0.000
0.000 4.087 0.000
0.000 0.000 8.135
Np In Pd
1 1 6
Direct
0.000 0.000 0.000
0.000 0.000 0.500
0.000 0.500 0.250
0.000 0.500 0.750
0.500 0.000 0.250
0.500 0.000 0.750
0.500 0.500 0.000
0.500 0.500 0.500

---

YSiIr (PBE, optimized geometry); size of the total moment = 0.0 Bohr magnetons per cell; space group = Pnma (62); E = -7.978 eV/atom; crystal system = orthorhombic
1.0
6.871 0.000 0.000
0.000 4.236 0.000
0.000 0.000 7.475
Y Si Ir
4 4 4
Direct
0.003 0.250 0.187
0.497 0.750 0.687
0.503 0.250 0.313
0.997 0.750 0.813
0.202 0.750 0.391
0.298 0.250 0.891
0.702 0.750 0.109
0.798 0.250 0.609
0.157 0.250 0.567
0.343 0.750 0.067
0.657 0.250 0.933
0.843 0.750 0.433

---

Ba4AgSe3 (PBE, optimized geometry); space group = Pm (6); E = -4.140 eV/atom; crystal system = monoclinic
1.0
6.678 0.000 0.000
0.000 4.713 0.000
-0.095 0.000 9.607
Ba Ag Se
4 1 3
Direct
0.000 0.000 0.000
0.005 0.000 0.500
0.498 0.500 0.762
0.504 0.500 0.237
0.506 0.000 0.499
0.004 0.500 0.248
0.500 0.000 0.999
0.998 0.500 0.752

---

DyHo2In3Ag2Au (PBE, optimized geometry); size of the total moment = 0.0 Bohr magnetons per cell; space group = Amm2 (38); E = -3.947 eV/atom; crystal system = orthorhombic
1.0
3.916 0.000 0.000
0.000 6.779 3.911
0.000 -6.779 3.911
Dy Ho In Ag Au
1 2 3 2 1
Direct
0.000 0.000 0.000
0.000 0.203 0.601
0.000 0.601 0.203
0.500 0.336 0.336
0.500 0.601 0.867
0.500 0.867 0.601
0.500 0.268 0.934
0.500 0.934 0.268
0.000 0.601 0.601

---

CsBaTm (PBE, optimized geometry); energy above the lowest structure with this stoichiometry = 0.103 eV per atom; size of the total moment = 1.3 Bohr magnetons per cell; space group = F-43m (216); crystal system = cubic
1.0
0.000 4.354 4.354
4.354 0.000 4.354
4.354 4.354 0.000
Cs Ba Tm
1 1 1
Direct
0.000 0.000 0.000
0.750 0.750 0.750
0.250 0.250 0.250

---

RbCuPdF5 (PBE, optimized geometry); space group = Pnma (62); E = -4.126 eV/atom; crystal system = orthorhombic
1.0
5.746 0.000 0.000
0.000 7.432 0.000
0.000 0.000 10.565
Rb Cu Pd F
4 4 4 20
Direct
0.022 0.250 0.146
0.478 0.750 0.646
0.522 0.250 0.354
0.978 0.750 0.854
0.000 0.000 0.500
0.000 0.500 0.500
0.500 0.000 0.000
0.500 0.500 0.000
0.181 0.250 0.788
0.319 0.750 0.288
0.681 0.250 0.712
0.819 0.750 0.212
0.037 0.250 0.437
0.175 0.049 0.664
0.175 0.451 0.664
0.190 0.063 0.923
0.190 0.437 0.923
0.310 0.563 0.423
0.310 0.937 0.423
0.325 0.549 0.164
0.325 0.951 0.164
0.463 0.750 0.937
0.537 0.250 0.063
0.675 0.049 0.836
0.675 0.451 0.836
0.690 0.063 0.577
0.690 0.437 0.577
0.810 0.563 0.077
0.810 0.937 0.077
0.825 0.549 0.336
0.825 0.951 0.336
0.963 0.750 0.563

---

TcB4Mo (PBE, optimized geometry); size of the total moment = 0.0 Bohr magnetons per cell; space group = P6/mmm (191); E = -8.148 eV/atom; crystal system = hexagonal
1.0
2.995 0.000 0.000
-1.498 2.594 0.000
0.000 0.000 6.765
Tc B Mo
1 4 1
Direct
0.000 0.000 0.000
0.333 0.667 0.251
0.333 0.667 0.749
0.667 0.333 0.251
0.667 0.333 0.749
0.000 0.000 0.500

---

YHoCo2B2N2 (PBE, optimized geometry); size of the total moment = 0.0 Bohr magnetons per cell; space group = P4mm (99); E = -8.003 eV/atom; crystal system = tetragonal
1.0
3.471 0.000 0.000
0.000 3.471 0.000
0.000 0.000 7.445
Y Ho Co B N
1 1 2 2 2
Direct
0.000 0.000 0.000
0.500 0.500 0.664
0.000 0.500 0.332
0.500 0.000 0.332
0.000 0.000 0.482
0.500 0.500 0.182
0.000 0.000 0.684
0.500 0.500 0.979